Arrangement w

Ga2NiHg | PBE | relaxed

The calculation puts the total magnetization at 0.0000 μB per atom.

The space group is I-42d (No. 122) and the conventional cell measures 4.126, 4.126 and 17.212 Å, with angles of 90.00, 90.00 and 90.00 degrees. Symmetry generates all atoms from Ga at (0.194, 0.250, 0.125), Ni at (0.000, 0.000, 0.000) and Hg at (0.000, 0.000, 0.500).

***

Arrangement x

Ga2NiHg | PBE | relaxed

The calculation puts the total magnetization at 0.0000 μB per atom.

The space group is Fm-3m (No. 225) and the conventional cell measures 6.515, 6.515 and 6.515 Å, with angles of 90.00, 90.00 and 90.00 degrees. Symmetry generates all atoms from Ga at (0.250, 0.250, 0.250), Ni at (0.000, 0.000, 0.000) and Hg at (0.000, 0.000, 0.500).

***

Relative energy table, unit meV per atom: arrangement w 0; arrangement x 102